# La3HoN

La3HoN after structural relaxation (PBE, the Alexandria database).

Space group = Pm-3m, No. 221
Uncorrected formation energy = -495 meV/atom
N(E_F) = 1.28 states/eV/atom

Cell and atoms, written as POSCAR:
```
La3HoN
1.0
-5.0761 -1.0543 -0.5720
0.1986 -3.1918 4.1205
-1.1829 3.9883 3.1464
N Ho La
1 1 3
Direct
0.0000 0.0000 0.0000
0.5000 0.5000 0.5000
0.0000 0.5000 0.0000
0.0000 0.0000 0.5000
0.5000 0.0000 0.0000
```